Below is AcZn2Sn after structural relaxation, with properties calculated at the PBE-GGA level.

Properties
Formation energy from the elements ... -0.236 eV per atom
SG ... Amm2, No. 38
Total magnetization ... 0.00 μB per formula unit

extended XYZ file:
```
4
Lattice="4.4971 0.0000 0.0000 0.0000 3.0269 3.8724 0.0000 -3.0269 3.8724" Properties=species:S:1:pos:R:3 pbc="T T T"
Ac 0.0000 0.0000 0.0000
Zn 0.0000 0.0000 3.5026
Zn 2.2485 0.0000 2.3413
Sn 2.2485 0.0000 5.1922
```

---

Below is Ac2Zn3Sn after structural relaxation, with properties calculated at the PBE-GGA level.

Properties
Formation energy from the elements ... -0.428 eV per atom
SG ... Pmm2, No. 25
E above lowest polymorph ... 10.3 meV/atom
Total magnetization ... 0.00 μB per formula unit

extended XYZ file:
```
6
Lattice="4.4985 0.0000 0.0000 0.0000 4.5691 0.0000 0.0000 0.0000 8.0490" Properties=species:S:1:pos:R:3 pbc="T T T"
Ac 0.0000 0.0000 0.0000
Ac 0.0000 2.2845 4.0247
Zn 2.2492 0.0000 2.6511
Zn 2.2492 0.0000 5.2523
Zn 2.2492 2.2845 1.4629
Sn 2.2492 2.2845 6.7359
```

---

Below is Ac4Zn2Sn after structural relaxation, with properties calculated at the PBE-GGA level.

Properties
Formation energy from the elements ... -0.239 eV per atom
SG ... R-3m, No. 166
Total magnetization ... 0.00 μB per formula unit

extended XYZ file:
```
7
Lattice="2.7892 1.6103 8.9886 -2.7892 1.6103 8.9886 0.0000 -3.2207 8.9886" Properties=species:S:1:pos:R:3 pbc="T T T"
Ac 0.0000 0.0000 3.2117
Ac 0.0000 0.0000 10.0043
Ac 0.0000 0.0000 16.9614
Ac 0.0000 0.0000 23.7540
Zn 0.0000 0.0000 6.7741
Zn 0.0000 0.0000 20.1915
Sn 0.0000 0.0000 13.4828
```

---

Below is Ac5Zn2Sn2 after structural relaxation, with properties calculated at the PBE-GGA level.

Properties
Formation energy from the elements ... -0.387 eV per atom
SG ... Cmce, No. 64
Total magnetization ... 0.00 μB per formula unit

extended XYZ file:
```
18
Lattice="8.6180 -4.3129 0.0000 8.6180 4.3129 0.0000 0.0000 0.0000 8.6209" Properties=species:S:1:pos:R:3 pbc="T T T"
Ac 0.0000 0.0000 0.0000
Ac 6.2285 2.8148 5.7803
Ac 6.2285 1.4981 1.4699
Ac 11.0076 2.8148 5.7803
Ac 11.0076 1.4981 1.4699
Ac 8.6180 0.0000 4.3105
Ac 6.2285 -1.4981 7.1510
Ac 6.2285 -2.8148 2.8406
Ac 11.0076 -1.4981 7.1510
Ac 11.0076 -2.8148 2.8406
Zn 8.6180 3.3200 3.3007
Zn 8.6180 0.9929 7.6112
Zn 8.6180 -0.9929 1.0097
Zn 8.6180 -3.3200 5.3202
Sn 3.5633 0.0000 0.0000
Sn 5.0548 0.0000 4.3105
Sn 12.1813 0.0000 4.3105
Sn 13.6728 0.0000 0.0000
```

---

Below is Ac2Zn5Sn3 after structural relaxation, with properties calculated at the PBE-GGA level.

Properties
Formation energy from the elements ... -0.404 eV per atom
SG ... Ibam, No. 72
Total magnetization ... 0.00 μB per formula unit

extended XYZ file:
```
20
Lattice="-5.4517 6.6274 3.2965 5.4517 -6.6274 3.2965 5.4517 6.6274 -3.2965" Properties=species:S:1:pos:R:3 pbc="T T T"
Ac 2.6907 1.6715 0.0000
Ac 2.6907 -1.6715 3.2965
Ac 2.7610 8.2989 0.0000
Ac 2.7610 4.9559 3.2965
Zn 5.4517 -3.2091 1.6483
Zn 6.8306 1.8206 0.0000
Zn 0.0000 0.0000 1.6483
Zn 1.3789 4.8067 0.0000
Zn 5.4517 3.2091 1.6483
Zn 0.0000 3.4183 1.6483
Zn 4.0729 1.8206 3.2965
Zn 0.0000 0.0000 4.9448
Zn -1.3789 4.8067 3.2965
Zn 0.0000 9.8364 1.6483
Sn 9.4840 1.6809 0.0000
Sn 5.4517 0.0000 1.6483
Sn 4.0323 4.9465 0.0000
Sn 1.4194 1.6809 3.2965
Sn 0.0000 6.6274 1.6483
Sn -4.0323 4.9465 3.2965
```

---

Below is Ac4Zn2Sn5 after structural relaxation, with properties calculated at the PBE-GGA level.

Properties
Formation energy from the elements ... -0.596 eV per atom
SG ... P2/m, No. 10
Total magnetization ... 0.00 μB per formula unit

extended XYZ file:
```
11
Lattice="7.8879 0.0000 0.0000 0.0000 4.7911 0.0000 -0.1681 0.0000 9.1162" Properties=species:S:1:pos:R:3 pbc="T T T"
Ac 1.7495 0.0000 1.2390
Ac 1.9615 0.0000 5.7177
Ac 5.7583 0.0000 3.3985
Ac 5.9702 0.0000 7.8772
Zn 0.5486 2.3956 3.5206
Zn 7.1711 2.3956 5.5956
Sn 0.7372 2.3956 7.9284
Sn 3.2473 2.3956 3.2083
Sn 3.9440 2.3956 0.0000
Sn 4.4725 2.3956 5.9079
Sn 6.9826 2.3956 1.1878
```